Entry from Alexandria via LeMat-Bulk: Zn2HgIr after structural relaxation (PBE).

Results
The density of states at the Fermi level comes out at 3.13 states/eV/f.u. The value obtained for the volume is 67 Å³/cell. The formation energy is 210.1 meV per atom. The space-group type is R3m, No. 160. Its total moment is 0.060 μB per atom.

Cell: 9.091 9.091 9.091 Å, 18.59 18.59 18.59°
Each line ends with the local moment (μB).
Element x y z (fractional)
Zn 0.002 0.002 0.002  0.00
Ir 0.742 0.742 0.742  0.25
Zn 0.257 0.257 0.257  0.00
Hg 0.499 0.499 0.499  0.00